14
Lattice="8.727 0.000 0.000 0.000 8.727 0.000 0.000 0.000 8.727" Properties=species:S:1:pos:R:3 comment="PBE KSn3Te3, relaxed" raw_formation_energy_ev_per_atom=-0.1065 polymorph_energy_ev_per_atom=0.157 m_tot_mub_per_fu=0.0 sg=Pm-3n vol_a3_per_cell=664.6 pbc="T T T"
K 0.000 0.000 0.000
K 4.363 4.363 4.363
Sn 0.000 2.182 4.363
Sn 0.000 6.545 4.363
Sn 2.182 4.363 0.000
Sn 4.363 0.000 2.182
Sn 4.363 0.000 6.545
Sn 6.545 4.363 0.000
Te 0.000 4.363 2.182
Te 0.000 4.363 6.545
Te 2.182 0.000 4.363
Te 4.363 2.182 0.000
Te 4.363 6.545 0.000
Te 6.545 0.000 4.363

10
Lattice="4.288 0.000 0.000 0.000 4.288 0.000 0.000 0.000 9.877" Properties=species:S:1:pos:R:3 comment="PBE Th2Al3ZnCu4, relaxed" e_form_ev_per_atom=-0.348 m_tot_mub_per_fu=0.0 sg=P-4m2 vol_a3_per_cell=181.6 pbc="T T T"
Th 0.000 2.144 2.408
Th 2.144 0.000 7.469
Al 0.000 2.144 8.628
Al 2.144 0.000 1.249
Al 2.144 2.144 4.939
Zn 0.000 0.000 4.939
Cu 0.000 0.000 0.000
Cu 0.000 2.144 6.223
Cu 2.144 0.000 3.654
Cu 2.144 2.144 0.000